A plane-wave DFT calculation with meta-GGA SCAN was carried out for a crystal of Rb3Al relaxed with PBEsol.

Calculated values
Energy of formation, meV per atom: 296
SG: I4/mmm (139)

Geometry as POSCAR:
```
Rb3Al
1.0
6.4858 0.0000 0.0000
-3.2429 5.7059 0.5606
0.0000 3.1280 5.6817
Al Rb
1 3
direct
0.0000 0.0000 0.0000
0.2500 0.5000 0.2500
0.5000 0.0000 0.5000
0.7500 0.5000 0.7500
```

A plane-wave DFT calculation with meta-GGA SCAN was carried out for a crystal of Pd2Pb2Au relaxed with PBEsol.

Calculated values
Energy of formation, meV per atom: -136
SG: P4/mbm (127)

Geometry as POSCAR:
```
Pd2Pb2Au
1.0
-1.7197 2.4563 -2.2080
-4.1946 -5.3342 -2.6671
-4.9223 1.2556 5.2304
Pd Pb Au
4 4 2
direct
0.0000 0.3628 0.8628
0.0000 0.8628 0.6372
0.0000 0.1372 0.3628
0.0000 0.6372 0.1372
0.5000 0.1654 0.6654
0.5000 0.3346 0.1654
0.5000 0.8346 0.3346
0.5000 0.6654 0.8346
0.0000 0.0000 0.0000
0.0000 0.5000 0.5000
```

A plane-wave DFT calculation with meta-GGA SCAN was carried out for a crystal of TaBeCu2 relaxed with PBEsol.

Calculated values
Energy of formation, meV per atom: 199
SG: R-3m (166)

Geometry as POSCAR:
```
TaBeCu2
1.0
2.6650 0.0000 0.0000
1.3325 2.3079 0.0000
1.3325 0.7693 8.2680
Cu Ta Be
2 1 1
direct
0.7394 0.7394 0.7819
0.2606 0.2606 0.2181
0.5000 0.5000 0.5000
0.0000 0.0000 0.0000
```

A plane-wave DFT calculation with meta-GGA SCAN was carried out for a crystal of TaReNi relaxed with PBEsol.

Calculated values
Energy of formation, meV per atom: 2
SG: P3m1 (156)
Energy relative to the lowest polymorph listed for this composition, meV/atom: 0

Geometry as POSCAR:
```
TaReNi
1.0
-0.5990 1.4603 -2.0619
-4.2078 -1.1312 0.4213
1.5312 3.5433 2.0646
Re Ni Ta
1 1 1
direct
0.6446 0.3333 0.6667
0.0773 0.0000 0.0000
0.2781 0.6667 0.3333
```

A plane-wave DFT calculation with meta-GGA SCAN was carried out for a crystal of CrHgP relaxed with PBEsol.

Calculated values
Energy of formation, meV per atom: 262
SG: P-6m2 (187)

Geometry as POSCAR:
```
CrHgP
1.0
-1.4301 0.3615 3.5491
3.5153 -1.4660 -0.5153
1.4566 3.4085 0.2398
Hg Cr P
1 1 1
direct
0.6667 0.3333 0.0000
0.0000 0.0000 0.5000
0.3333 0.6667 0.5000
```

A plane-wave DFT calculation with meta-GGA SCAN was carried out for a crystal of LiSi2Pt relaxed with PBEsol.

Calculated values
Energy relative to the elements, uncorrected, meV per atom: -326
SG: Pmm2 (25)

Geometry as POSCAR:
```
LiSi2Pt
1.0
2.7209 0.0000 0.0000
0.0000 4.2780 0.0000
0.0000 0.0000 4.9216
Si Pt Li
2 1 1
direct
0.5000 0.5000 0.7385
0.5000 0.0000 0.0084
0.5000 0.5000 0.2575
0.0000 0.0000 0.4956
```

A plane-wave DFT calculation with meta-GGA SCAN was carried out for a crystal of Zr9In14Co7 relaxed with PBEsol.

Calculated values
Energy of formation, meV per atom: -377
SG: Fm-3m (225)

Geometry as POSCAR:
```
Zr9In14Co7
1.0
-6.1442 -5.1589 4.6789
2.0479 -3.0689 8.5232
-4.3714 3.5463 7.3873
Co In Zr
7 14 9
direct
0.7211 0.7211 0.2789
0.5000 0.5000 0.5000
0.2789 0.2789 0.7211
0.7211 0.2789 0.7211
0.2789 0.7211 0.7211
0.2789 0.7211 0.2789
0.7211 0.2789 0.2789
0.0000 0.0000 0.6582
0.0000 0.0000 0.3418
0.0000 0.6582 0.3418
0.0000 0.6582 0.0000
0.3418 0.0000 0.6582
0.3418 0.6582 0.0000
0.3418 0.0000 0.0000
0.6582 0.0000 0.3418
0.6582 0.0000 0.0000
0.0000 0.3418 0.6582
0.0000 0.3418 0.0000
0.6582 0.3418 0.0000
0.2500 0.2500 0.2500
0.7500 0.7500 0.7500
0.1361 0.6213 0.6213
0.0000 0.0000 0.0000
0.3787 0.3787 0.3787
0.8639 0.3787 0.3787
0.6213 0.6213 0.1361
0.6213 0.1361 0.6213
0.6213 0.6213 0.6213
0.3787 0.3787 0.8639
0.3787 0.8639 0.3787
```

A plane-wave DFT calculation with meta-GGA SCAN was carried out for a crystal of Sm3Si2Cl5O6 relaxed with PBEsol.

Calculated values
Energy relative to the elements, uncorrected, meV per atom: -3054
SG: C2/m (12)

Geometry as POSCAR:
```
Sm3Si2Cl5O6
1.0
-6.1782 1.7541 -3.8337
1.0382 -5.8622 -4.5278
-7.5477 -7.6030 4.9552
O Cl Si Sm
12 10 4 6
direct
0.0416 0.6087 0.1730
0.8683 0.3051 0.1729
0.3051 0.8683 0.1729
0.6949 0.1317 0.8271
0.3913 0.9584 0.8270
0.8541 0.1459 0.0000
0.6087 0.0416 0.1730
0.0466 0.0466 0.8090
0.1317 0.6949 0.8271
0.1459 0.8541 0.0000
0.9534 0.9534 0.1910
0.9584 0.3913 0.8270
0.6215 0.6215 0.3643
0.3124 0.3124 0.9990
0.6876 0.6876 0.0010
0.3230 0.8881 0.5802
0.1119 0.6770 0.4198
0.8881 0.3230 0.5802
0.7764 0.7764 0.6622
0.6770 0.1119 0.4198
0.2236 0.2236 0.3378
0.3785 0.3785 0.6357
0.8183 0.1092 0.1438
0.1092 0.8183 0.1438
0.1817 0.8908 0.8562
0.8908 0.1817 0.8562
0.9170 0.4148 0.3331
0.0830 0.5852 0.6669
0.5852 0.0830 0.6669
0.5000 0.0000 0.0000
0.0000 0.5000 0.0000
0.4148 0.9170 0.3331
```

no.,magnetization (μB/cell)
1,2.055
2,0.000
3,0.000
4,0.000
5,1.517
6,0.000
7,2.119
8,0.000